Record 1
Here is a relaxed structure of LaPmLuHg from the Alexandria database. Energies are from GGA-PBE.

The total energy comes out at -3.65 eV/atom. For the calculated formation energy, the calculation gives -0.028 eV/atom. The density is 9.241 g/cm³.

The structure belongs to space group F-43m (No. 216); the cell edges are 7.797, 7.797 and 7.797 Å and the angles 90.00°, 90.00° and 90.00°. The asymmetric unit holds La at (0.000, 0.000, 0.000), Pm at (0.250, 0.250, 0.250), Lu at (0.000, 0.000, 0.500) and Hg at (0.250, 0.250, 0.750).

---

Record 2
Here is a relaxed structure of Ac3PC from the Alexandria database. Energies are from GGA-PBE.

The total energy comes out at -5.48 eV/atom. For the calculated formation energy, the calculation gives -0.085 eV/atom. The density is 7.966 g/cm³.

The structure belongs to space group Pm-3m (No. 221); the cell edges are 5.324, 5.324 and 5.324 Å and the angles 90.00°, 90.00° and 90.00°. The asymmetric unit holds Ac at (0.000, 0.000, 0.500), P at (0.500, 0.500, 0.500) and C at (0.000, 0.000, 0.000).

---

Record 3
Here is a relaxed structure of La2CuNi2 from the Alexandria database. Energies are from GGA-PBE.

The total energy comes out at -5.29 eV/atom. For the calculated formation energy, the calculation gives -0.184 eV/atom. The density is 7.026 g/cm³.

The structure belongs to space group I4/mmm (No. 139); the cell edges are 5.414, 5.414 and 7.397 Å and the angles 90.00°, 90.00° and 90.00°. The asymmetric unit holds La at (0.000, 0.500, 0.250), Cu at (0.000, 0.000, 0.000) and Ni at (0.000, 0.000, 0.339).

---

Record 4
Here is a relaxed structure of PrCoCu from the Alexandria database. Energies are from GGA-PBE.

The total energy comes out at -5.34 eV/atom. For the calculated formation energy, the calculation gives -0.018 eV/atom. The density is 7.408 g/cm³.

The structure belongs to space group Ima2 (No. 46); the cell edges are 8.249, 6.297 and 4.547 Å and the angles 90.00°, 90.00° and 90.00°. The asymmetric unit holds Pr at (0.000, 0.000, 0.000), Co at (0.250, 0.250, 0.251) and Cu at (0.250, 0.611, 0.001).

---

Record 5
Here is a relaxed structure of Nd3Hg4 from the Alexandria database. Energies are from GGA-PBE.

The total energy comes out at -2.55 eV/atom. For the calculated formation energy, the calculation gives -0.336 eV/atom. The density is 9.614 g/cm³.

The structure belongs to space group R-3m (No. 166, hexagonal axes); the cell edges are 5.2340, 5.2340 and 26.9741 Å and the angles 90.00°, 90.00° and 120.00°. The asymmetric unit holds Nd at (0.0000, 0.0000, 0.0000), Nd at (0.0000, 0.0000, 0.2430), Hg at (0.0000, 0.0000, 0.1262) and Hg at (0.0000, 0.0000, 0.3760).

---

Record 6
Here is a relaxed structure of AlMo3P from the Alexandria database. Energies are from GGA-PBE.

The total energy comes out at -7.91 eV/atom. For the calculated formation energy, the calculation gives 0.421 eV/atom. The value obtained for the energy above the most stable polymorph in this dataset is 0 meV per atom. The density is 6.537 g/cm³.

The structure belongs to space group Pm-3m (No. 221); the cell edges are 4.445, 4.445 and 4.445 Å and the angles 90.00°, 90.00° and 90.00°. The asymmetric unit holds Al at (0.000, 0.000, 0.000), Mo at (0.000, 0.500, 0.500) and P at (0.500, 0.500, 0.500).

---

no.,calculated volume (Å³ per cell)
1,474.00
2,150.91
3,216.84
4,236.17
5,639.95
6,87.83